# 1
# LiSeN2F | Alexandria via LeMat-Bulk | SCAN | PBEsol geometry
# Uncorrected formation energy (eV per atom): 0.928
# Energy (eV per atom): -7.990
# Mass density (g/cm3): 4.36
data_LiSeN2F
_chemical_formula_sum 'Li1 Se1 N2 F1'
_cell_length_a 3.9435
_cell_length_b 3.9435
_cell_length_c 3.2564
_cell_angle_alpha 90.00
_cell_angle_beta 90.00
_cell_angle_gamma 90.00
_space_group_name_H-M_alt 'P 4/m m m'
_space_group_IT_number 123
_space_group_name_Hall '-P 4 2'
loop_
_atom_site_label
_atom_site_fract_x
_atom_site_fract_y
_atom_site_fract_z
Li1 0.0000 0.0000 0.0000
Se1 0.5000 0.5000 0.5000
N1 0.0000 0.5000 0.0000
F1 0.0000 0.0000 0.5000

# 2
# AlPSe2Br | Alexandria via LeMat-Bulk | SCAN | PBEsol geometry
# Uncorrected formation energy (eV per atom): 0.388
# Energy (eV per atom): -15.165
# Mass density (g/cm3): 4.41
data_AlPSe2Br
_chemical_formula_sum 'Al1 P1 Se2 Br1'
_cell_length_a 4.8728
_cell_length_b 4.8728
_cell_length_c 4.6880
_cell_angle_alpha 90.00
_cell_angle_beta 90.00
_cell_angle_gamma 90.00
_space_group_name_H-M_alt 'P 4/m m m'
_space_group_IT_number 123
_space_group_name_Hall '-P 4 2'
loop_
_atom_site_label
_atom_site_fract_x
_atom_site_fract_y
_atom_site_fract_z
Al1 0.0000 0.0000 0.0000
P1 0.5000 0.5000 0.5000
Se1 0.0000 0.5000 0.0000
Br1 0.0000 0.0000 0.5000

# 3
# ZnCu | Alexandria via LeMat-Bulk | SCAN | PBEsol geometry
# Energy (eV per atom): -14.408
# Mass density (g/cm3): 8.58
data_ZnCu
_chemical_formula_sum 'Zn12 Cu12'
_cell_length_a 8.3051
_cell_length_b 7.1925
_cell_length_c 5.0112
_cell_angle_alpha 90.00
_cell_angle_beta 90.00
_cell_angle_gamma 90.00
_space_group_name_H-M_alt 'P b c m'
_space_group_IT_number 57
loop_
_space_group_symop_operation_xyz
'x,y,z'
'-x,-y,-z'
'-x,-y,z+1/2'
'x,y,-z+1/2'
'x,-y+1/2,-z'
'-x,y+1/2,z'
'-x,y+1/2,-z+1/2'
'x,-y+1/2,z+1/2'
loop_
_atom_site_label
_atom_site_fract_x
_atom_site_fract_y
_atom_site_fract_z
Zn1 0.1098 0.0629 0.2500
Zn2 0.3608 0.5995 0.2500
Zn3 0.3801 0.2500 0.0000
Cu1 0.1221 0.7500 0.0000
Cu2 0.1347 0.1074 0.7500
Cu3 0.3796 0.5655 0.7500

# 4
# MoPb2Br | Alexandria via LeMat-Bulk | SCAN | PBEsol geometry
# Uncorrected formation energy (eV per atom): 0.439
# Energy (eV per atom): -51.037
# Mass density (g/cm3): 10.54
data_MoPb2Br
_chemical_formula_sum 'Mo1 Pb2 Br1'
_cell_length_a 3.2124
_cell_length_b 3.2124
_cell_length_c 9.0128
_cell_angle_alpha 90.00
_cell_angle_beta 90.00
_cell_angle_gamma 90.00
_space_group_name_H-M_alt 'P 4 m m'
_space_group_IT_number 99
loop_
_space_group_symop_operation_xyz
'x,y,z'
'-y,x,z'
'-x,-y,z'
'y,-x,z'
'-x,y,z'
'y,x,z'
'x,-y,z'
'-y,-x,z'
loop_
_atom_site_label
_atom_site_fract_x
_atom_site_fract_y
_atom_site_fract_z
Mo1 0.0000 0.0000 0.0000
Pb1 0.0000 0.0000 0.5382
Pb2 0.5000 0.5000 0.2299
Br1 0.5000 0.5000 0.8533

# 5
# LaHf3Ag | Alexandria via LeMat-Bulk | SCAN | PBEsol geometry
# Energy (eV per atom): -50.820
# Mass density (g/cm3): 10.11
data_LaHf3Ag
_chemical_formula_sum 'La1 Hf3 Ag1'
_cell_length_a 5.0454
_cell_length_b 5.0454
_cell_length_c 5.0454
_cell_angle_alpha 90.00
_cell_angle_beta 90.00
_cell_angle_gamma 90.00
_space_group_name_H-M_alt 'P m -3 m'
_space_group_IT_number 221
_space_group_name_Hall '-P 4 2 3'
loop_
_atom_site_label
_atom_site_fract_x
_atom_site_fract_y
_atom_site_fract_z
La1 0.0000 0.0000 0.0000
Hf1 0.0000 0.0000 0.5000
Ag1 0.5000 0.5000 0.5000

# 6
# Be2Cl | Alexandria via LeMat-Bulk | SCAN | PBEsol geometry
# Uncorrected formation energy (eV per atom): 0.392
# Energy (eV per atom): -5.170
# Mass density (g/cm3): 2.19
data_Be2Cl
_chemical_formula_sum 'Be2 Cl1'
_cell_length_a 3.0663
_cell_length_b 3.0663
_cell_length_c 4.3182
_cell_angle_alpha 90.00
_cell_angle_beta 90.00
_cell_angle_gamma 90.00
_space_group_name_H-M_alt 'P 4/m m m'
_space_group_IT_number 123
_space_group_name_Hall '-P 4 2'
loop_
_atom_site_label
_atom_site_fract_x
_atom_site_fract_y
_atom_site_fract_z
Be1 0.0000 0.5000 0.0000
Cl1 0.0000 0.0000 0.5000

# 7
# YMgMo2 | Alexandria via LeMat-Bulk | SCAN | PBEsol geometry
# Energy (eV per atom): -25.172
# Mass density (g/cm3): 6.66
data_YMgMo2
_chemical_formula_sum 'Y2 Mg2 Mo4'
_cell_length_a 9.1953
_cell_length_b 2.7586
_cell_length_c 6.0025
_cell_angle_alpha 90.00
_cell_angle_beta 91.71
_cell_angle_gamma 90.00
_space_group_name_H-M_alt 'C 1 m 1'
_space_group_IT_number 8
loop_
_space_group_symop_operation_xyz
'x,y,z'
'x,-y,z'
'x+1/2,y+1/2,z'
'x+1/2,-y+1/2,z'
loop_
_atom_site_label
_atom_site_fract_x
_atom_site_fract_y
_atom_site_fract_z
Y1 0.0000 0.0000 0.0000
Mg1 0.2504 0.5000 0.2928
Mo1 0.2506 0.0000 0.7176
Mo2 0.4892 0.0000 0.5264

# 8
# Li2NiRu | Alexandria via LeMat-Bulk | SCAN | PBEsol geometry
# Energy (eV per atom): -13.883
# Mass density (g/cm3): 6.00
data_Li2NiRu
_chemical_formula_sum 'Li2 Ni1 Ru1'
_cell_length_a 2.5236
_cell_length_b 4.3263
_cell_length_c 4.4027
_cell_angle_alpha 90.00
_cell_angle_beta 90.00
_cell_angle_gamma 90.00
_space_group_name_H-M_alt 'P m m m'
_space_group_IT_number 47
loop_
_space_group_symop_operation_xyz
'x,y,z'
'-x,-y,-z'
'-x,-y,z'
'x,y,-z'
'x,-y,-z'
'-x,y,z'
'-x,y,-z'
'x,-y,z'
loop_
_atom_site_label
_atom_site_fract_x
_atom_site_fract_y
_atom_site_fract_z
Li1 0.0000 0.0000 0.0000
Li2 0.5000 0.5000 0.0000
Ni1 0.0000 0.5000 0.5000
Ru1 0.5000 0.0000 0.5000

# 9
# Na3AsSe | Alexandria via LeMat-Bulk | SCAN | PBEsol geometry
# Uncorrected formation energy (eV per atom): -0.197
# Energy (eV per atom): -10.780
# Mass density (g/cm3): 2.36
data_Na3AsSe
_chemical_formula_sum 'Na3 As1 Se1'
_cell_length_a 5.3944
_cell_length_b 5.3944
_cell_length_c 5.3944
_cell_angle_alpha 90.00
_cell_angle_beta 90.00
_cell_angle_gamma 90.00
_space_group_name_H-M_alt 'P m -3 m'
_space_group_IT_number 221
_space_group_name_Hall '-P 4 2 3'
loop_
_atom_site_label
_atom_site_fract_x
_atom_site_fract_y
_atom_site_fract_z
Na1 0.0000 0.0000 0.5000
As1 0.0000 0.0000 0.0000
Se1 0.5000 0.5000 0.5000

# 10
# FeReTc2Rh | Alexandria via LeMat-Bulk | SCAN | PBEsol geometry
# Energy (eV per atom): -36.825
# Mass density (g/cm3): 9.95
data_FeReTc2Rh
_chemical_formula_sum 'Fe1 Re1 Tc2 Rh1'
_cell_length_a 4.5501
_cell_length_b 4.5501
_cell_length_c 4.3591
_cell_angle_alpha 90.00
_cell_angle_beta 90.00
_cell_angle_gamma 90.00
_space_group_name_H-M_alt 'P 4/m m m'
_space_group_IT_number 123
_space_group_name_Hall '-P 4 2'
loop_
_atom_site_label
_atom_site_fract_x
_atom_site_fract_y
_atom_site_fract_z
Fe1 0.0000 0.0000 0.0000
Re1 0.0000 0.0000 0.5000
Tc1 0.0000 0.5000 0.5000
Rh1 0.5000 0.5000 0.0000

# 11
# FeTc2PtO | Alexandria via LeMat-Bulk | SCAN | PBEsol geometry
# Uncorrected formation energy (eV per atom): 1.927
# Energy (eV per atom): -31.008
# Mass density (g/cm3): 7.53
data_FeTc2PtO
_chemical_formula_sum 'Fe1 Tc2 Pt1 O1'
_cell_length_a 4.6957
_cell_length_b 4.6957
_cell_length_c 4.6310
_cell_angle_alpha 90.00
_cell_angle_beta 90.00
_cell_angle_gamma 90.00
_space_group_name_H-M_alt 'P 4/m m m'
_space_group_IT_number 123
_space_group_name_Hall '-P 4 2'
loop_
_atom_site_label
_atom_site_fract_x
_atom_site_fract_y
_atom_site_fract_z
Fe1 0.0000 0.0000 0.0000
Tc1 0.0000 0.5000 0.5000
Pt1 0.0000 0.0000 0.5000
O1 0.5000 0.5000 0.0000

# 12
# Zn2AgIr | Alexandria via LeMat-Bulk | SCAN | PBEsol geometry
# Energy (eV per atom): -32.477
# Mass density (g/cm3): 12.69
data_Zn2AgIr
_chemical_formula_sum 'Zn4 Ag2 Ir2'
_cell_length_a 4.0943
_cell_length_b 4.0943
_cell_length_c 6.7283
_cell_angle_alpha 90.00
_cell_angle_beta 90.00
_cell_angle_gamma 90.00
_space_group_name_H-M_alt 'I 4/m m m'
_space_group_IT_number 139
_space_group_name_Hall '-I 4 2'
loop_
_atom_site_label
_atom_site_fract_x
_atom_site_fract_y
_atom_site_fract_z
Zn1 0.0000 0.5000 0.2500
Ag1 0.0000 0.0000 0.0000
Ir1 0.0000 0.0000 0.5000

# 13
# La2MgAu | Alexandria via LeMat-Bulk | SCAN | PBEsol geometry
# Energy (eV per atom): -40.661
# Mass density (g/cm3): 7.54
data_La2MgAu
_chemical_formula_sum 'La2 Mg1 Au1'
_cell_length_a 3.8409
_cell_length_b 3.8409
_cell_length_c 7.4485
_cell_angle_alpha 90.00
_cell_angle_beta 90.00
_cell_angle_gamma 90.00
_space_group_name_H-M_alt 'P 4/m m m'
_space_group_IT_number 123
_space_group_name_Hall '-P 4 2'
loop_
_atom_site_label
_atom_site_fract_x
_atom_site_fract_y
_atom_site_fract_z
La1 0.0000 0.0000 0.2282
Mg1 0.5000 0.5000 0.5000
Au1 0.5000 0.5000 0.0000

# 14
# CrOsRh2 | Alexandria via LeMat-Bulk | SCAN | PBEsol geometry
# Energy (eV per atom): -39.513
# Mass density (g/cm3): 14.23
data_CrOsRh2
_chemical_formula_sum 'Cr2 Os2 Rh4'
_cell_length_a 3.7130
_cell_length_b 3.7130
_cell_length_c 7.5850
_cell_angle_alpha 90.00
_cell_angle_beta 90.00
_cell_angle_gamma 90.00
_space_group_name_H-M_alt 'I 4/m m m'
_space_group_IT_number 139
_space_group_name_Hall '-I 4 2'
loop_
_atom_site_label
_atom_site_fract_x
_atom_site_fract_y
_atom_site_fract_z
Cr1 0.0000 0.0000 0.0000
Os1 0.0000 0.0000 0.5000
Rh1 0.0000 0.5000 0.2500